No. 1
Entry from Alexandria via LeMat-Bulk: crystalline Ta4AsOs at its relaxed geometry (PBE).

Values from the calculation:
Energy relative to the elements, meV per atom: 574.1
Space group: F-43m (216)

Cell lengths 5.370, 5.370, 5.370 Å; angles 60.00, 60.00, 60.00 degrees
Fractional positions:
Ta 0.125 0.125 0.125
Ta 0.125 0.125 0.625
Ta 0.125 0.625 0.125
Ta 0.625 0.125 0.125
As 0.750 0.750 0.750
Os 0.500 0.500 0.500



No. 2
Entry from Alexandria via LeMat-Bulk: crystalline FeHg at its relaxed geometry (PBE).

Values from the calculation:
Energy relative to the elements, meV per atom: 605.6
Space group: Fddd (70)

Cell lengths 8.142, 7.551, 4.732 Å; angles 79.42, 65.73, 34.84 degrees
Fractional positions:
Fe 0.043 0.043 0.207
Fe 0.207 0.207 0.043
Fe 0.793 0.793 0.957
Fe 0.957 0.957 0.793
Hg 0.203 0.547 0.203
Hg 0.453 0.797 0.453
Hg 0.547 0.203 0.547
Hg 0.797 0.453 0.797



No. 3
Entry from Alexandria via LeMat-Bulk: crystalline TbDy2Ag3 at its relaxed geometry (PBE).

Values from the calculation:
Energy relative to the elements, meV per atom: -321.7
Space group: P4/mmm (123)

Cell lengths 3.627, 3.627, 11.000 Å; angles 90.00, 90.00, 90.00 degrees
Fractional positions:
Tb 0.000 0.000 0.000
Dy 0.000 0.000 0.334
Dy 0.000 0.000 0.666
Ag 0.500 0.500 0.168
Ag 0.500 0.500 0.500
Ag 0.500 0.500 0.832



No. 4
Entry from Alexandria via LeMat-Bulk: crystalline Sm2YCd at its relaxed geometry (PBE).

Values from the calculation:
Distance to the lowest polymorph of the same formula, eV per atom: 0.0244
Energy relative to the elements, meV per atom: -130.9
Space group: Cmcm (63)

Cell lengths 6.564, 6.564, 10.546 Å; angles 90.00, 90.00, 147.53 degrees
Fractional positions:
Sm 0.131 0.869 0.535
Sm 0.131 0.869 0.965
Sm 0.869 0.131 0.035
Sm 0.869 0.131 0.465
Y 0.461 0.539 0.750
Y 0.539 0.461 0.250
Cd 0.254 0.746 0.250
Cd 0.746 0.254 0.750



No. 5
Entry from Alexandria via LeMat-Bulk: crystalline ScCoB2 at its relaxed geometry (PBE).

Values from the calculation:
Distance to the lowest polymorph of the same formula, eV per atom: 0.4150
Energy relative to the elements, meV per atom: -269.6
Space group: I4_1/amd (141)

Cell lengths 7.207, 7.207, 7.207 Å; angles 149.82, 149.82, 43.21 degrees
Fractional positions:
Sc 0.375 0.625 0.750
Sc 0.625 0.375 0.250
Co 0.125 0.875 0.250
Co 0.875 0.125 0.750
B 0.000 0.000 0.000
B 0.000 0.000 0.500
B 0.000 0.500 0.000
B 0.500 0.000 0.500



No. 6
Entry from Alexandria via LeMat-Bulk: crystalline LaTbEr at its relaxed geometry (PBE).

Values from the calculation:
Distance to the lowest polymorph of the same formula, eV per atom: 0.0000
Energy relative to the elements, meV per atom: 21.4
Space group: P3m1 (156)

Cell lengths 3.609, 3.609, 8.799 Å; angles 90.00, 90.00, 120.00 degrees
Fractional positions:
La 0.000 0.000 0.000
Tb 0.667 0.333 0.342
Er 0.333 0.667 0.664



No. 7
Entry from Alexandria via LeMat-Bulk: crystalline Sc2HgPd2 at its relaxed geometry (PBE).

Values from the calculation:
Energy relative to the elements, meV per atom: -516.3
Space group: I4/mmm (139)

Cell lengths 7.518, 7.518, 7.518 Å; angles 150.35, 150.35, 42.43 degrees
Fractional positions:
Sc 0.115 0.115 0.000
Sc 0.885 0.885 0.000
Hg 0.500 0.500 0.000
Pd 0.250 0.750 0.500
Pd 0.750 0.250 0.500



No. 8
Entry from Alexandria via LeMat-Bulk: crystalline K2ZnOs2 at its relaxed geometry (PBE).

Values from the calculation:
Distance to the lowest polymorph of the same formula, eV per atom: 0.3599
Energy relative to the elements, meV per atom: 1145.2
Space group: P4/mbm (127)

Cell lengths 10.272, 10.272, 2.621 Å; angles 90.00, 90.00, 90.00 degrees
Fractional positions:
K 0.199 0.301 0.000
K 0.301 0.801 0.000
K 0.699 0.199 0.000
K 0.801 0.699 0.000
Zn 0.000 0.000 0.000
Zn 0.500 0.500 0.000
Os 0.078 0.578 0.500
Os 0.422 0.078 0.500
Os 0.578 0.922 0.500
Os 0.922 0.422 0.500



How do the records compare in final energy? In the order shown, they have -9.9742; -3.7766; -4.0530; -4.3353; -6.9676; -4.6854; -5.1864; -4.0405 eV per atom.